[1]
Compound: BaYW2
Source: Alexandria via LeMat-Bulk
Functional: SCAN
Structure: single point on PBEsol structure

Computed properties:
DOS at the Fermi energy: 1.1876 states/eV per atom
total energy: -199.57 eV/f.u.
E_form: 1801 meV/atom
ΔE to the lowest computed polymorph: 1.201 eV/atom

Lattice parameters (Å, degrees): 3.4797 5.0155 5.0155 90.00 90.00 90.00
With the nearest neighbours (Å) after each atom.
Element x y z (fractional)
Ba: 0.5000 0.0000 0.0000  8 W 3.05
W: 0.0000 0.0000 0.5000  4 Y 3.05, 4 Ba 3.05
W: 0.0000 0.5000 0.0000  4 Ba 3.05, 4 Y 3.05
Y: 0.5000 0.5000 0.5000  8 W 3.05

---

[2]
Compound: Ti3NbCo2P6O24
Source: Alexandria via LeMat-Bulk
Functional: SCAN
Structure: single point on PBEsol structure

Computed properties:
DOS at the Fermi energy: 0.1117 states/eV per atom
total energy: -420.08 eV/f.u.
uncorrected formation energy: -2564 meV/atom

Lattice parameters (Å, degrees): 8.4082 8.4082 8.4082 62.25 62.25 62.25
With the nearest neighbours (Å) after each atom.
Element x y z (fractional)
Ti: 0.1382 0.1382 0.1382  6 O 1.92-2.01
Ti: 0.3627 0.3627 0.3627  6 O 1.92-2.00
Ti: 0.6391 0.6391 0.6391  6 O 1.92-2.01
Nb: 0.8647 0.8647 0.8647  6 O 1.99-2.05
Co: 0.9979 0.9979 0.9979  6 O 2.18
Co: 0.4988 0.4988 0.4988  6 O 2.16-2.17
P: 0.4551 0.7511 0.0413  4 O 1.53-1.55
P: 0.7511 0.0413 0.4551  4 O 1.53-1.55
P: 0.9594 0.5314 0.2596  4 O 1.52-1.57
P: 0.2596 0.9594 0.5314  4 O 1.52-1.57
P: 0.5314 0.2596 0.9594  4 O 1.52-1.57
P: 0.0413 0.4551 0.7511  4 O 1.53-1.55
O: 0.4897 0.3288 0.1172  1 P 1.52
O: 0.1172 0.4897 0.3288  1 P 1.52
O: 0.2606 0.9088 0.0530  1 P 1.55
O: 0.3288 0.1172 0.4897  1 P 1.52
O: 0.6138 0.8223 0.0003  1 P 1.54
O: 0.4426 0.5947 0.2371  1 P 1.55
O: 0.9088 0.0530 0.2606  1 P 1.55
O: 0.5947 0.2371 0.4426  1 P 1.55
O: 0.0016 0.3789 0.1825  1 P 1.53
O: 0.2371 0.4426 0.5947  1 P 1.55
O: 0.9457 0.7302 0.1025  1 P 1.57
O: 0.1825 0.0016 0.3789  1 P 1.53
O: 0.8223 0.0003 0.6138  1 P 1.54
O: 0.0530 0.2606 0.9088  1 P 1.55
O: 0.7625 0.5480 0.4137  1 P 1.55
O: 0.0003 0.6138 0.8223  1 P 1.54
O: 0.4137 0.7625 0.5480  1 P 1.55
O: 0.1025 0.9457 0.7302  1 P 1.57
O: 0.5480 0.4137 0.7625  1 P 1.55
O: 0.3789 0.1825 0.0016  1 P 1.53
O: 0.6821 0.8804 0.5037  1 P 1.53
O: 0.7302 0.1025 0.9457  1 P 1.57
O: 0.8804 0.5037 0.6821  1 P 1.53
O: 0.5037 0.6821 0.8804  1 P 1.53

---

[3]
Compound: Mg4As6Ir7
Source: Alexandria via LeMat-Bulk
Functional: SCAN
Structure: single point on PBEsol structure

Computed properties:
DOS at the Fermi energy: 0.3541 states/eV per atom
total energy: -648.33 eV/f.u.
E_form: -565 meV/atom

Lattice parameters (Å, degrees): 7.0129 7.0129 7.0129 109.47 109.47 109.47
With the nearest neighbours (Å) after each atom.
Element x y z (fractional)
As: 0.6866 0.0000 0.6866  5 Ir 2.53-2.54
As: 0.3134 0.0000 0.3134  5 Ir 2.53-2.54
As: 0.0000 0.3134 0.3134  5 Ir 2.53-2.54
As: 0.0000 0.6866 0.6866  5 Ir 2.53-2.54
As: 0.3134 0.3134 0.0000  5 Ir 2.53-2.54
As: 0.6866 0.6866 0.0000  5 Ir 2.53-2.54
Ir: 0.2500 0.5000 0.7500  4 As 2.53
Ir: 0.7500 0.5000 0.2500  4 As 2.53
Ir: 0.5000 0.2500 0.7500  4 As 2.53
Ir: 0.5000 0.7500 0.2500  4 As 2.53
Ir: 0.2500 0.7500 0.5000  4 As 2.53
Ir: 0.7500 0.2500 0.5000  4 As 2.53
Ir: 0.0000 0.0000 0.0000  6 As 2.54
Mg: 0.0000 0.5000 0.0000  6 Ir 2.86, 6 As 2.91
Mg: 0.5000 0.0000 0.0000  6 Ir 2.86, 6 As 2.91
Mg: 0.0000 0.0000 0.5000  6 Ir 2.86, 6 As 2.91
Mg: 0.5000 0.5000 0.5000  6 Ir 2.86, 6 As 2.91

---

[4]
Compound: Li3V2P3O12
Source: Alexandria via LeMat-Bulk
Functional: SCAN
Structure: single point on PBEsol structure

Computed properties:
total energy: -200.44 eV/f.u.
uncorrected formation energy: -2616 meV/atom
ΔE to the lowest computed polymorph: 0.000 eV/atom

Lattice parameters (Å, degrees): 8.6395 8.6396 12.0419 90.00 90.00 90.00
With the nearest neighbours (Å) after each atom.
Element x y z (fractional)
Li: 0.5272 0.9794 0.8184  4 O 1.93-2.00
Li: 0.5272 0.0206 0.1816  4 O 1.93-2.00
Li: 0.4728 0.5206 0.3184  4 O 1.93-2.00
Li: 0.4728 0.4794 0.6816  4 O 1.93-2.00
Li: 0.1965 0.3214 0.7890  4 O 1.98-2.11
Li: 0.1965 0.6786 0.2110  4 O 1.98-2.11
Li: 0.0528 0.9833 0.6855  4 O 1.87-2.01
Li: 0.0528 0.0167 0.3145  4 O 1.87-2.01
Li: 0.9472 0.4833 0.8145  4 O 1.87-2.01
Li: 0.9472 0.5167 0.1855  4 O 1.87-2.01
Li: 0.8035 0.8214 0.7110  4 O 1.98-2.11
Li: 0.8035 0.1786 0.2890  4 O 1.98-2.11
V: 0.4983 0.7886 0.6142  6 O 1.91-2.04
V: 0.4983 0.2114 0.3858  6 O 1.91-2.04
V: 0.5017 0.2886 0.8858  6 O 1.91-2.04
V: 0.5017 0.7114 0.1142  6 O 1.91-2.04
V: 0.0056 0.7902 0.8881  6 O 1.90-2.07
V: 0.0056 0.2098 0.1119  6 O 1.90-2.07
V: 0.9944 0.2902 0.6119  6 O 1.90-2.07
V: 0.9944 0.7098 0.3881  6 O 1.90-2.07
P: 0.7097 0.5000 0.5000  4 O 1.53-1.55
P: 0.6431 0.6493 0.8548  4 O 1.51-1.56
P: 0.6431 0.3507 0.1452  4 O 1.51-1.56
P: 0.3569 0.1493 0.6452  4 O 1.51-1.56
P: 0.3569 0.8507 0.3548  4 O 1.51-1.56
P: 0.2903 0.0000 0.0000  4 O 1.53-1.55
P: 0.2048 0.5000 0.0000  4 O 1.54-1.55
P: 0.1453 0.6442 0.6469  4 O 1.52-1.56
P: 0.1453 0.3558 0.3531  4 O 1.52-1.56
P: 0.8547 0.8558 0.1469  4 O 1.52-1.56
P: 0.8547 0.1442 0.8531  4 O 1.52-1.56
P: 0.7952 0.0000 0.5000  4 O 1.54-1.55
O: 0.6991 0.1094 0.4265  1 P 1.54
O: 0.6991 0.8906 0.5735  1 P 1.54
O: 0.6779 0.1527 0.8368  1 P 1.54
O: 0.6779 0.8473 0.1632  1 P 1.54
O: 0.5937 0.6935 0.9708  1 P 1.51
O: 0.5937 0.3065 0.0292  1 P 1.51
O: 0.5873 0.4868 0.8218  1 P 1.54
O: 0.5873 0.5132 0.1782  1 P 1.54
O: 0.6033 0.5913 0.5799  1 P 1.55
O: 0.6033 0.4087 0.4201  1 P 1.55
O: 0.5848 0.7744 0.7711  1 P 1.56
O: 0.5848 0.2256 0.2289  1 P 1.56
O: 0.4152 0.2744 0.7289  1 P 1.56
O: 0.4152 0.7256 0.2711  1 P 1.56
O: 0.3967 0.0913 0.9201  1 P 1.55
O: 0.3967 0.9087 0.0799  1 P 1.55
O: 0.4127 0.0132 0.3218  1 P 1.54
O: 0.4127 0.9868 0.6782  1 P 1.54
O: 0.4063 0.1935 0.5292  1 P 1.51
O: 0.4063 0.8065 0.4708  1 P 1.51
O: 0.3221 0.3473 0.3368  1 P 1.54
O: 0.3221 0.6527 0.6632  1 P 1.54
O: 0.3009 0.3906 0.9265  1 P 1.54
O: 0.3009 0.6094 0.0735  1 P 1.54
O: 0.1918 0.1066 0.0730  1 P 1.53
O: 0.1918 0.8934 0.9270  1 P 1.53
O: 0.1783 0.1567 0.6606  1 P 1.56
O: 0.1783 0.8433 0.3394  1 P 1.56
O: 0.0959 0.6759 0.5280  1 P 1.52
O: 0.0959 0.3241 0.4720  1 P 1.52
O: 0.0945 0.4790 0.6854  1 P 1.56
O: 0.0945 0.5210 0.3146  1 P 1.56
O: 0.0971 0.5873 0.9187  1 P 1.55
O: 0.0971 0.4127 0.0813  1 P 1.55
O: 0.0615 0.7663 0.7216  1 P 1.56
O: 0.0615 0.2337 0.2784  1 P 1.56
O: 0.9385 0.2663 0.7784  1 P 1.56
O: 0.9385 0.7337 0.2216  1 P 1.56
O: 0.9029 0.0873 0.5813  1 P 1.55
O: 0.9029 0.9127 0.4187  1 P 1.55
O: 0.9055 0.9790 0.8146  1 P 1.56
O: 0.9055 0.0210 0.1854  1 P 1.56
O: 0.9041 0.1759 0.9720  1 P 1.52
O: 0.9041 0.8241 0.0280  1 P 1.52
O: 0.8217 0.3433 0.1606  1 P 1.56
O: 0.8217 0.6567 0.8394  1 P 1.56
O: 0.8082 0.3934 0.5730  1 P 1.53
O: 0.8082 0.6066 0.4270  1 P 1.53

---

[5]
Compound: KBaMo2
Source: Alexandria via LeMat-Bulk
Functional: SCAN
Structure: single point on PBEsol structure

Computed properties:
DOS at the Fermi energy: 0.7925 states/eV per atom
total energy: -111.24 eV/f.u.
E_form: 1603 meV/atom
ΔE to the lowest computed polymorph: 0.000 eV/atom

Lattice parameters (Å, degrees): 3.9344 3.9344 5.7773 90.00 90.00 90.00
With the nearest neighbours (Å) after each atom.
Element x y z (fractional)
Ba: 0.5000 0.5000 0.5000  4 K 2.78
K: 0.0000 0.0000 0.5000  4 Ba 2.78
Mo: 0.0000 0.5000 0.0000  4 Mo 2.78
Mo: 0.5000 0.0000 0.0000  4 Mo 2.78

---

[6]
Compound: SrCoSbTe2
Source: Alexandria via LeMat-Bulk
Functional: SCAN
Structure: single point on PBEsol structure

Computed properties:
DOS at the Fermi energy: 0.6609 states/eV per atom
total energy: -153.23 eV/f.u.
uncorrected formation energy: -377 meV/atom
ΔE to the lowest computed polymorph: 0.000 eV/atom

Lattice parameters (Å, degrees): 4.6325 5.3854 5.3854 90.00 90.00 90.00
With the nearest neighbours (Å) after each atom.
Element x y z (fractional)
Sb: 0.5000 0.0000 0.0000  2 Co 2.32
Te: 0.0000 0.0000 0.5000  2 Co 2.69
Te: 0.0000 0.5000 0.0000  2 Co 2.69
Co: 0.0000 0.0000 0.0000  2 Sb 2.32
Sr: 0.5000 0.5000 0.5000  8 Te 3.55, 4 Sb 3.81

---

[7]
Compound: YAl2P
Source: Alexandria via LeMat-Bulk
Functional: SCAN
Structure: single point on PBEsol structure

Computed properties:
DOS at the Fermi energy: 0.4003 states/eV per atom
total energy: -55.97 eV/f.u.
E_form: -555 meV/atom

Lattice parameters (Å, degrees): 3.8760 3.8760 5.6673 110.00 110.00 90.00
With the nearest neighbours (Å) after each atom.
Element x y z (fractional)
Y: 0.0000 0.0000 0.0000  4 P 2.74
P: 0.5000 0.5000 0.0000  4 Y 2.74
Al: 0.7500 0.2500 0.5000  4 Al 2.74
Al: 0.2500 0.7500 0.5000  4 Al 2.74

---

[8]
Compound: YCrAg2
Source: Alexandria via LeMat-Bulk
Functional: SCAN
Structure: single point on PBEsol structure

Computed properties:
DOS at the Fermi energy: 0.4961 states/eV per atom
total energy: -109.22 eV/f.u.
E_form: -65 meV/atom
ΔE to the lowest computed polymorph: 0.030 eV/atom

Lattice parameters (Å, degrees): 4.2370 4.2370 5.1374 114.35 114.35 90.00
With the nearest neighbours (Å) after each atom.
Element x y z (fractional)
Ag: 0.0000 0.0000 0.0000  4 Y 2.97, 4 Ag 2.97, 4 Cr 3.00
Ag: 0.7500 0.2500 0.5000  4 Cr 2.97, 4 Ag 2.97, 4 Y 3.00
Cr: 0.5000 0.5000 0.0000  8 Ag 2.97-3.00, 4 Y 2.97
Y: 0.2500 0.7500 0.5000  4 Cr 2.97, 8 Ag 2.97-3.00

---

[9]
Compound: Sr2ScAs
Source: Alexandria via LeMat-Bulk
Functional: SCAN
Structure: single point on PBEsol structure

Computed properties:
DOS at the Fermi energy: 0.2999 states/eV per atom
total energy: -80.47 eV/f.u.
E_form: -374 meV/atom

Lattice parameters (Å, degrees): 4.1538 4.1542 6.6322 90.00 89.98 90.00
With the nearest neighbours (Å) after each atom.
Element x y z (fractional)
As: 0.5000 0.5000 0.0000  8 Sr 3.29, 2 Sc 3.32
Sc: 0.5000 0.5000 0.5000  2 As 3.32, 8 Sr 3.46
Sr: 0.9997 0.0000 0.7757  1 Sr 2.98, 4 As 3.29
Sr: 0.0003 0.0000 0.2243  1 Sr 2.98, 4 As 3.29

---

[10]
Compound: InWBr
Source: Alexandria via LeMat-Bulk
Functional: SCAN
Structure: single point on PBEsol structure

Computed properties:
DOS at the Fermi energy: 0.7666 states/eV per atom
total energy: -119.57 eV/f.u.
uncorrected formation energy: 990 meV/atom
ΔE to the lowest computed polymorph: 0.204 eV/atom

Lattice parameters (Å, degrees): 3.0036 4.6566 4.6566 120.00 90.00 90.00
With the nearest neighbours (Å) after each atom.
Element x y z (fractional)
Br: 0.5000 0.0000 0.0000  3 W 2.69, 2 Br 3.00
W: 0.5000 0.6667 0.3333  3 Br 2.69, 2 W 3.00
In: 0.0000 0.3333 0.6667  2 In 3.00, 6 W 3.08, 6 Br 3.08